No. 1
Below is SrLi2LaAu after structural relaxation, with properties calculated at the PBE level.

The structure in POSCAR format:
```
SrLi2LaAu
1.0
5.330 0.000 0.000
0.000 5.330 0.000
0.000 0.000 5.617
Sr Li La Au
1 2 1 1
direct
0.000 0.000 0.000
0.000 0.500 0.500
0.500 0.000 0.500
0.500 0.500 0.000
0.500 0.500 0.500
```

Output
- Uncorrected energy: -2.899 eV per atom
- Energy of formation from the pure elements: -0.16 eV/atom
- Space group: P4/mmm (123)

***

No. 2
Below is Na3Er2InO6 after structural relaxation, with properties calculated at the PBE level.

The structure in POSCAR format:
```
Na3Er2InO6
1.0
2.899 -5.022 0.000
2.899 5.022 0.000
-1.926 0.000 5.586
Na Er In O
3 2 1 6
direct
0.000 0.000 0.000
0.338 0.662 0.000
0.662 0.338 0.000
0.167 0.833 0.500
0.833 0.167 0.500
0.500 0.500 0.500
0.098 0.429 0.287
0.239 0.239 0.712
0.429 0.098 0.287
0.571 0.902 0.713
0.761 0.761 0.288
0.902 0.571 0.713
```

Output
- Uncorrected energy: -6.218 eV per atom
- Formation energy without anion corrections: -2.421 eV/atom
- Space group: C2/m (12)

***

No. 3
Below is NpPaSnRu after structural relaxation, with properties calculated at the PBE level.

The structure in POSCAR format:
```
NpPaSnRu
1.0
6.954 0.000 0.000
0.000 6.954 0.000
0.000 0.000 6.954
Np Pa Sn Ru
4 4 4 4
direct
0.000 0.000 0.000
0.000 0.500 0.500
0.500 0.000 0.500
0.500 0.500 0.000
0.250 0.250 0.250
0.250 0.750 0.750
0.750 0.250 0.750
0.750 0.750 0.250
0.250 0.250 0.750
0.250 0.750 0.250
0.750 0.250 0.250
0.750 0.750 0.750
0.000 0.000 0.500
0.000 0.500 0.000
0.500 0.000 0.000
0.500 0.500 0.500
```

Output
- Uncorrected energy: -8.962 eV per atom
- Energy of formation from the pure elements: -0.03 eV/atom
- Space group: F-43m (216)

***

No. 4
Below is AcMgZnPt2 after structural relaxation, with properties calculated at the PBE level.

The structure in POSCAR format:
```
AcMgZnPt2
1.0
4.143 0.000 0.000
0.000 4.143 0.000
0.000 0.000 12.462
Ac Mg Zn Pt
2 2 2 4
direct
0.000 0.000 0.000
0.500 0.500 0.500
0.000 0.500 0.250
0.500 0.000 0.750
0.000 0.500 0.750
0.500 0.000 0.250
0.000 0.000 0.387
0.000 0.000 0.613
0.500 0.500 0.113
0.500 0.500 0.887
```

Output
- Uncorrected energy: -4.708 eV per atom
- Energy of formation from the pure elements: -0.90 eV/atom
- Space group: I-4m2 (119)

***

No. 5
Below is RbGaHg2Rh after structural relaxation, with properties calculated at the PBE level.

The structure in POSCAR format:
```
RbGaHg2Rh
1.0
5.415 0.000 0.000
0.000 5.415 0.000
0.000 0.000 4.813
Rb Ga Hg Rh
1 1 2 1
direct
0.000 0.000 0.000
0.500 0.500 0.000
0.000 0.500 0.500
0.500 0.000 0.500
0.500 0.500 0.500
```

Output
- Uncorrected energy: -2.647 eV per atom
- Energy of formation from the pure elements: -0.26 eV/atom
- Space group: P4/mmm (123)

***

No. 6
Below is UBiPd4 after structural relaxation, with properties calculated at the PBE level.

The structure in POSCAR format:
```
UBiPd4
1.0
0.000 3.848 3.848
3.848 0.000 3.848
3.848 3.848 0.000
U Bi Pd
1 1 4
direct
0.000 0.000 0.000
0.750 0.750 0.750
0.374 0.374 0.374
0.374 0.374 0.877
0.374 0.877 0.374
0.877 0.374 0.374
```

Output
- Uncorrected energy: -6.290 eV per atom
- Energy of formation from the pure elements: -0.30 eV/atom
- Space group: F-43m (216)